Record 1
Material: CuTc2I
Method: DFT, PBE-GGA
State: relaxed

The calculation puts the energy above the most stable polymorph in this dataset at 89 meV per atom. For the energy relative to the elements, uncorrected, the calculation gives 917.2 meV/atom.

```
CuTc2I
1.0
-3.8304 0.6831 0.5028
-0.4705 -3.6462 1.3693
-0.4330 1.6253 9.7989
Tc Cu I
4 2 2
Direct
0.2009 0.6250 0.2500
0.5491 0.1250 0.2500
0.8750 0.7991 0.7500
0.3750 0.4509 0.7500
0.2500 0.7500 0.5000
0.5000 0.5000 0.0000
0.7500 0.2500 0.5000
0.0000 0.0000 0.0000
```

---

Record 2
Material: TiCuTcI2
Method: DFT, PBE-GGA
State: relaxed

For the energy relative to the elements, uncorrected, the calculation gives 921.3 meV/atom.

```
TiCuTcI2
1.0
5.4536 0.0000 0.0000
0.0000 4.5736 0.0000
0.0000 0.0000 5.4536
I Tc Cu Ti
2 1 1 1
Direct
0.5000 0.0000 0.0000
0.0000 0.0000 0.5000
0.0000 0.0000 0.0000
0.5000 0.5000 0.5000
0.0000 0.5000 0.0000
```

---

Record 3
Material: TlCuTcI6
Method: DFT, PBE-GGA
State: relaxed

For the energy relative to the elements, uncorrected, the calculation gives -171.8 meV/atom.

```
TlCuTcI6
1.0
-0.6227 2.6156 6.7867
-6.5512 1.9127 2.5913
-1.0199 -7.0682 2.6325
Cu I Tc Tl
1 6 1 1
Direct
0.6664 0.6666 0.5000
0.0094 0.3658 0.2942
0.3657 0.6249 0.2941
0.3657 0.0094 0.7058
0.6249 0.0093 0.2940
0.0093 0.6250 0.7060
0.6249 0.3657 0.7059
0.3334 0.3334 0.5000
0.0000 0.0000 0.0000
```